1.
{"formula": "MgBeIn", "functional": "PBE-GGA", "state": "optimized geometry", "vol_a3_per_fu": 55.6, "crystal_system": "orthorhombic", "n_ef_per_ev_fu": 0.98, "sg": "Imm2, No. 44", "m_tot_mub_per_cell": 0.0, "total_energy_ev_per_atom": -2.329, "de_polymorph_ev_per_atom": 0.194, "e_form_mev_per_atom": 357.4, "lattice": [[-1.5340, 2.0182, 4.4920], [1.5340, -2.0182, 4.4920], [1.5340, 2.0182, -4.4920]], "species": ["Mg", "Be", "In"], "fractional_positions": [[0.0000, 0.0000, 0.0000], [0.6663, 0.6663, 0.0000], [0.3151, 0.3151, 0.0000]]}

2.
{"formula": "NaZn2Ga4Cu", "functional": "PBE-GGA", "state": "optimized geometry", "vol_a3_per_fu": 152.0, "crystal_system": "trigonal", "n_ef_per_ev_fu": 2.35, "sg": "R-3m, No. 166", "m_tot_mub_per_cell": 0.0, "total_energy_ev_per_atom": -2.510, "e_form_mev_per_atom": -1.3, "lattice": [[2.1827, 1.2602, 9.2115], [-2.1827, 1.2602, 9.2115], [0.0000, -2.5204, 9.2115]], "species": ["Na", "Zn", "Zn", "Ga", "Ga", "Ga", "Ga", "Cu"], "fractional_positions": [[0.0000, 0.0000, 0.0000], [0.2451, 0.2451, 0.2451], [0.7549, 0.7549, 0.7549], [0.1314, 0.1314, 0.1314], [0.4048, 0.4048, 0.4048], [0.5952, 0.5952, 0.5952], [0.8686, 0.8686, 0.8686], [0.5000, 0.5000, 0.5000]]}

3.
{"formula": "Hg2MoPd", "functional": "PBE-GGA", "state": "optimized geometry", "vol_a3_per_fu": 80.6, "crystal_system": "tetragonal", "n_ef_per_ev_fu": 4.40, "sg": "I-42d, No. 122", "m_tot_mub_per_cell": 0.0, "total_energy_ev_per_atom": -3.374, "de_polymorph_ev_per_atom": 0.339, "e_form_mev_per_atom": 782.7, "lattice": [[-3.7616, 3.7616, 2.8474], [3.7616, -3.7616, 2.8474], [3.7616, 3.7616, -2.8474]], "species": ["Hg", "Hg", "Hg", "Hg", "Mo", "Mo", "Pd", "Pd"], "fractional_positions": [[0.1199, 0.6250, 0.9949], [0.3750, 0.3699, 0.4949], [0.6301, 0.1250, 0.0051], [0.8750, 0.8801, 0.5051], [0.2500, 0.7500, 0.5000], [0.5000, 0.5000, 0.0000], [0.0000, 0.0000, 0.0000], [0.7500, 0.2500, 0.5000]]}

4.
{"formula": "Pu2SbRh3", "functional": "PBE-GGA", "state": "optimized geometry", "vol_a3_per_fu": 115.1, "crystal_system": "trigonal", "e_form_raw_ev_per_atom": -0.618, "n_ef_per_ev_fu": 15.76, "sg": "R-3m, No. 166", "m_tot_mub_per_cell": 10.6, "total_energy_ev_per_atom": -9.758, "lattice": [[2.8243, 1.6306, 4.1637], [-2.8243, 1.6306, 4.1637], [0.0000, -3.2613, 4.1637]], "species": ["Pu", "Pu", "Sb", "Rh", "Rh", "Rh"], "fractional_positions": [[0.1192, 0.1192, 0.1192], [0.8808, 0.8808, 0.8808], [0.5000, 0.5000, 0.5000], [0.0000, 0.5000, 0.5000], [0.5000, 0.0000, 0.5000], [0.5000, 0.5000, 0.0000]]}

5.
{"formula": "CoWBr2", "functional": "PBE-GGA", "state": "optimized geometry", "vol_a3_per_fu": 90.4, "crystal_system": "monoclinic", "e_form_raw_ev_per_atom": 0.186, "n_ef_per_ev_fu": 1.86, "sg": "Cm, No. 8", "m_tot_mub_per_cell": 0.0, "total_energy_ev_per_atom": -5.665, "de_polymorph_ev_per_atom": 0.004, "lattice": [[3.2226, -1.6129, 0.0000], [3.2226, 1.6129, 0.0000], [-1.4879, 0.0000, 8.6949]], "species": ["Co", "W", "Br", "Br"], "fractional_positions": [[0.0000, 0.0000, 0.0000], [0.3103, 0.3103, 0.1527], [0.6487, 0.6487, 0.8243], [0.8347, 0.8347, 0.3823]]}

6.
{"formula": "Pr5Ga2Sn2", "functional": "PBE-GGA", "state": "optimized geometry", "vol_a3_per_fu": 274.7, "crystal_system": "orthorhombic", "n_ef_per_ev_fu": 8.10, "sg": "Cmce, No. 64", "m_tot_mub_per_cell": 0.0, "total_energy_ev_per_atom": -4.816, "e_form_mev_per_atom": -598.6, "lattice": [[8.0734, -4.1491, 0.0000], [8.0734, 4.1491, 0.0000], [0.0000, 0.0000, 8.2008]], "species": ["Pr", "Pr", "Pr", "Pr", "Pr", "Pr", "Pr", "Pr", "Pr", "Pr", "Ga", "Ga", "Ga", "Ga", "Sn", "Sn", "Sn", "Sn"], "fractional_positions": [[0.0000, 0.0000, 0.0000], [0.0445, 0.6832, 0.6752], [0.1832, 0.5445, 0.1752], [0.3168, 0.9555, 0.6752], [0.4555, 0.8168, 0.1752], [0.5000, 0.5000, 0.5000], [0.5445, 0.1832, 0.8248], [0.6832, 0.0445, 0.3248], [0.8168, 0.4555, 0.8248], [0.9555, 0.3168, 0.3248], [0.1140, 0.8860, 0.3852], [0.3860, 0.6140, 0.8852], [0.6140, 0.3860, 0.1148], [0.8860, 0.1140, 0.6148], [0.2097, 0.2097, 0.0000], [0.2903, 0.2903, 0.5000], [0.7097, 0.7097, 0.5000], [0.7903, 0.7903, 0.0000]]}

Copy entry 4 word for word.
{"formula": "Pu2SbRh3", "functional": "PBE-GGA", "state": "optimized geometry", "vol_a3_per_fu": 115.1, "crystal_system": "trigonal", "e_form_raw_ev_per_atom": -0.618, "n_ef_per_ev_fu": 15.76, "sg": "R-3m, No. 166", "m_tot_mub_per_cell": 10.6, "total_energy_ev_per_atom": -9.758, "lattice": [[2.8243, 1.6306, 4.1637], [-2.8243, 1.6306, 4.1637], [0.0000, -3.2613, 4.1637]], "species": ["Pu", "Pu", "Sb", "Rh", "Rh", "Rh"], "fractional_positions": [[0.1192, 0.1192, 0.1192], [0.8808, 0.8808, 0.8808], [0.5000, 0.5000, 0.5000], [0.0000, 0.5000, 0.5000], [0.5000, 0.0000, 0.5000], [0.5000, 0.5000, 0.0000]]}